# 1
Density functional theory data (PBE) for a relaxed structure of Ba3PuRe2N8.

extended XYZ file:
```
14
Lattice="-3.907 4.397 -1.676 0.486 -5.097 -3.345 -5.626 -3.359 4.301" Properties=species:S:1:pos:R:3 pbc="T T T"
Ba -4.761 -4.191 0.103
Ba -4.285 0.132 -0.824
Ba 0.000 0.000 0.000
Pu -2.813 -1.680 2.151
Re -2.289 -2.715 -1.787
Re -6.757 -1.345 1.066
N -1.015 -1.955 -2.760
N -8.031 -2.105 2.040
N -2.051 -4.556 -1.692
N -6.996 0.497 0.972
N -2.289 -2.053 -0.049
N -6.757 -2.006 -0.671
N -3.969 -2.397 -2.515
N -5.077 -1.662 1.795
```

Calculated values
Crystal system: trigonal
DFT total energy (eV per atom): -8.742
Formation energy without anion corrections (eV per atom): -0.771

=====

# 2
Density functional theory data (PBE) for a relaxed structure of BaPu2RhN4.

extended XYZ file:
```
16
Lattice="3.594 0.000 0.000 -1.797 5.935 0.000 0.000 0.000 12.028" Properties=species:S:1:pos:R:3 pbc="T T T"
Ba 0.000 0.978 9.021
Ba 1.797 4.957 3.007
Pu 0.000 4.355 6.645
Pu 1.797 1.580 0.631
Pu 1.797 1.580 5.383
Pu 0.000 4.355 11.397
Rh 1.797 3.726 9.021
Rh 0.000 2.209 3.007
N 0.000 2.916 1.093
N 1.797 3.018 7.107
N 1.797 3.018 10.935
N 0.000 2.916 4.921
N 0.000 0.000 6.014
N 0.000 0.000 0.000
N 0.000 4.723 9.021
N 1.797 1.211 3.007
```

Calculated values
Crystal system: orthorhombic
DFT total energy (eV per atom): -9.722
Formation energy without anion corrections (eV per atom): -0.817

=====

# 3
Density functional theory data (PBE) for a relaxed structure of BaSm2PuN4.

extended XYZ file:
```
16
Lattice="-1.932 2.588 1.697 -2.150 0.133 -6.574 -8.974 -8.509 2.762" Properties=species:S:1:pos:R:3 pbc="T T T"
Ba -6.936 -6.288 1.693
Ba -6.119 0.500 -3.808
Sm -7.109 -3.486 -2.778
Sm -2.075 1.369 -0.529
Sm -5.946 -2.302 0.662
Sm -10.981 -7.157 -1.586
Pu -9.382 -4.316 -0.177
Pu -3.674 -1.472 -1.938
N -2.371 -0.124 -2.512
N -7.918 -3.041 -0.455
N -10.684 -5.664 0.396
N -5.137 -2.747 -1.660
N -4.487 -4.255 1.381
N 0.000 0.000 0.000
N -9.082 -5.305 -2.250
N -3.974 -0.483 0.135
```

Calculated values
Crystal system: orthorhombic
DFT total energy (eV per atom): -8.391
Formation energy without anion corrections (eV per atom): -1.017

=====

# 4
Density functional theory data (PBE) for a relaxed structure of BaSr3Pu2N6.

extended XYZ file:
```
12
Lattice="-2.962 -0.908 1.986 3.153 -6.477 1.741 3.980 5.304 4.952" Properties=species:S:1:pos:R:3 pbc="T T T"
Ba -1.481 -0.454 0.993
Sr 0.095 -3.693 1.863
Sr 0.681 1.669 5.189
Sr 3.489 -3.751 3.489
Pu 2.239 -1.564 6.034
Pu 1.931 -0.518 2.644
N 4.354 -2.440 5.378
N 1.293 -2.372 4.255
N -0.184 0.358 3.300
N 1.132 -1.477 1.013
N 3.038 -0.605 7.666
N 2.876 0.290 4.424
```

Calculated values
Crystal system: monoclinic
DFT total energy (eV per atom): -7.977
Formation energy without anion corrections (eV per atom): -0.845

=====

# 5
Density functional theory data (PBE) for a relaxed structure of Ba2PuTa3N8.

extended XYZ file:
```
14
Lattice="6.444 0.000 0.000 3.222 5.581 0.000 3.222 1.860 6.551" Properties=species:S:1:pos:R:3 pbc="T T T"
Ba 3.222 1.860 3.705
Ba 6.444 3.720 3.430
Pu 9.666 5.581 0.509
Ta 6.444 5.568 0.155
Ta 8.044 2.797 0.155
Ta 4.844 2.797 0.155
N 3.222 1.860 1.198
N 9.666 5.581 5.707
N 4.852 2.802 5.708
N 8.036 2.802 5.708
N 6.444 5.558 5.708
N 6.444 1.976 1.345
N 4.934 4.593 1.345
N 7.954 4.593 1.345
```

Calculated values
Crystal system: trigonal
DFT total energy (eV per atom): -9.535
Formation energy without anion corrections (eV per atom): -0.940

=====

# 6
Density functional theory data (PBE) for a relaxed structure of BaTbPu4N8.

extended XYZ file:
```
14
Lattice="6.939 0.000 0.000 3.470 6.009 0.000 3.470 2.003 5.680" Properties=species:S:1:pos:R:3 pbc="T T T"
Ba 6.939 4.006 4.944
Tb 10.409 6.009 0.007
Pu 6.939 4.006 0.805
Pu 3.470 3.986 2.851
Pu 5.187 1.012 2.851
Pu 1.752 1.012 2.851
N 6.939 6.384 3.964
N 8.998 2.817 3.964
N 4.880 2.817 3.964
N 3.470 2.003 1.877
N 6.939 1.842 1.597
N 5.065 5.088 1.597
N 8.814 5.088 1.597
N 10.409 6.009 4.047
```

Calculated values
Crystal system: trigonal
DFT total energy (eV per atom): -10.349
Formation energy without anion corrections (eV per atom): -1.028

=====

# 7
Density functional theory data (PBE) for a relaxed structure of BaPu2TcN4.

extended XYZ file:
```
16
Lattice="-3.142 1.555 0.292 -0.616 -5.712 2.608 3.262 4.567 10.775" Properties=species:S:1:pos:R:3 pbc="T T T"
Ba 2.100 2.642 8.518
Ba -2.595 -2.232 5.157
Pu 0.173 -1.136 7.914
Pu -1.997 -0.314 1.373
Pu -0.668 1.546 5.761
Pu 1.502 0.723 12.302
Tc -0.503 1.091 9.964
Tc 0.008 -0.681 3.711
N -0.759 -1.992 2.435
N -0.719 1.025 7.993
N 0.264 2.401 11.240
N 0.224 -0.615 5.682
N 1.631 2.284 5.388
N 0.000 0.000 0.000
N 0.713 -0.488 10.265
N -1.208 0.897 3.410
```

Calculated values
Crystal system: orthorhombic
DFT total energy (eV per atom): -10.138
Formation energy without anion corrections (eV per atom): -0.856

=====

# 8
Density functional theory data (PBE) for a relaxed structure of BaPuTcN4.

extended XYZ file:
```
14
Lattice="-3.125 -5.090 0.551 4.262 -2.253 3.357 -2.096 4.420 5.628" Properties=species:S:1:pos:R:3 pbc="T T T"
Ba -0.983 -1.241 8.126
Ba 0.024 -1.682 1.410
Pu -0.232 -3.747 5.490
Pu -0.727 0.824 4.046
Tc 1.696 -1.505 4.547
Tc -2.656 -1.419 4.990
N -2.314 -2.895 6.066
N 3.429 -1.125 5.104
N 1.354 -0.028 3.470
N -4.389 -1.798 4.432
N 1.446 -3.151 3.760
N -2.405 0.228 5.776
N 0.576 -1.532 5.950
N -1.536 -1.391 3.586
```

Calculated values
Crystal system: monoclinic
DFT total energy (eV per atom): -9.186
Formation energy without anion corrections (eV per atom): -0.626